Compound: Li2VSi6O15
Source: Alexandria via LeMat-Bulk
Functional: PBEsol
Structure: relaxed

**ΔE to the lowest computed polymorph**: 0.000 eV per atom
**Magnetic moment**: 1.00 μB/f.u.
**E**: -762.7 eV/cell
**Density**: 2.65 g/cm³

Unit cell a=9.9425 b=11.0025 c=11.0025 alpha=99.64 beta=90.00 gamma=90.00
With the nearest neighbours (Å) after each atom.
Element x y z (fractional)
Li 0.5000 0.7436 0.7436  4 O 1.97-1.98
Li 0.2500 0.5136 0.9864  2 O 1.93
Li 0.2500 0.0136 0.4864  2 O 1.93
Li 0.0000 0.2436 0.2436  4 O 1.97-1.98
Li 0.7500 0.4864 0.0136  2 O 1.93
Li 0.5000 0.2564 0.2564  4 O 1.97-1.98
Li 0.0000 0.7564 0.7564  4 O 1.97-1.98
Li 0.7500 0.9864 0.5136  2 O 1.93
O 0.9843 0.1546 0.6043  2 Si 1.62-1.63
O 0.9948 0.3967 0.6033  2 Si 1.62
O 0.4240 0.2302 0.4872  2 Si 1.63
O 0.5882 0.3305 0.6695  2 Si 1.62
O 0.5760 0.7698 0.5128  2 Si 1.63
O 0.3328 0.6833 0.6575  1 Si 1.61
O 0.4100 0.9045 0.7432  1 Si 1.61
O 0.1658 0.5309 0.7578  2 Si 1.64-1.65
O 0.5900 0.7432 0.9045  1 Si 1.61
O 0.1978 0.9484 0.0516  2 Si 1.62
O 0.6672 0.3167 0.3425  1 Si 1.61
O 0.8239 0.9999 0.3546  1 Si 1.61
O 0.1672 0.8425 0.8167  1 Si 1.61
O 0.9100 0.5955 0.7568  1 Si 1.61
O 0.4240 0.5128 0.7698  2 Si 1.63
O 0.8342 0.4691 0.2422  2 Si 1.64-1.65
O 0.5052 0.8967 0.1033  2 Si 1.62
O 0.5900 0.0955 0.2568  1 Si 1.61
O 0.0052 0.6033 0.3967  2 Si 1.62
O 0.0900 0.4045 0.2432  1 Si 1.61
O 0.5157 0.6546 0.1043  2 Si 1.62-1.63
O 0.4100 0.2568 0.0955  1 Si 1.61
O 0.5760 0.4872 0.2302  2 Si 1.63
O 0.9240 0.2698 0.0128  2 Si 1.63
O 0.0157 0.6043 0.1546  2 Si 1.62-1.63
O 0.8342 0.7578 0.5309  2 Si 1.64-1.65
O 0.8239 0.6454 0.0001  1 Si 1.61
O 0.4118 0.6695 0.3305  2 Si 1.62
O 0.6761 0.1454 0.5001  1 Si 1.61
O 0.8328 0.1575 0.1833  1 Si 1.61
O 0.9240 0.9872 0.7302  2 Si 1.63
O 0.3342 0.7422 0.9691  2 Si 1.64-1.65
O 0.0900 0.7568 0.5955  1 Si 1.61
O 0.6978 0.5516 0.4484  2 Si 1.62
O 0.8328 0.8167 0.8425  1 Si 1.61
O 0.1658 0.2422 0.4691  2 Si 1.64-1.65
O 0.0157 0.8454 0.3957  2 Si 1.62-1.63
O 0.9100 0.2432 0.4045  1 Si 1.61
O 0.4948 0.1033 0.8967  2 Si 1.62
O 0.1672 0.1833 0.1575  1 Si 1.61
O 0.9118 0.8305 0.1695  2 Si 1.62
O 0.4843 0.1043 0.6546  2 Si 1.62-1.63
O 0.6672 0.6575 0.6833  1 Si 1.61
O 0.3022 0.4484 0.5516  2 Si 1.62
O 0.3239 0.8546 0.4999  1 Si 1.61
O 0.1761 0.0001 0.6454  1 Si 1.61
O 0.0882 0.1695 0.8305  2 Si 1.62
O 0.1761 0.3546 0.9999  1 Si 1.61
O 0.6658 0.9691 0.7422  2 Si 1.64-1.65
O 0.4843 0.3454 0.8957  2 Si 1.62-1.63
O 0.8022 0.0516 0.9484  2 Si 1.62
O 0.9843 0.3957 0.8454  2 Si 1.62-1.63
O 0.6658 0.2578 0.0309  2 Si 1.64-1.65
O 0.6761 0.4999 0.8546  1 Si 1.61
O 0.0760 0.0128 0.2698  2 Si 1.63
O 0.3342 0.0309 0.2578  2 Si 1.64-1.65
O 0.5157 0.8957 0.3454  2 Si 1.62-1.63
O 0.3239 0.5001 0.1454  1 Si 1.61
O 0.0760 0.7302 0.9872  2 Si 1.63
O 0.3328 0.3425 0.3167  1 Si 1.61
V 0.2500 0.3401 0.1599  6 O 1.91-1.94
V 0.7500 0.1599 0.3401  6 O 1.91-1.94
V 0.2500 0.8401 0.6599  6 O 1.91-1.94
V 0.7500 0.6599 0.8401  6 O 1.91-1.94
Si 0.6964 0.6796 0.5450  4 O 1.61-1.64
Si 0.5472 0.4231 0.7950  4 O 1.61-1.63
Si 0.5472 0.2050 0.5769  4 O 1.61-1.63
Si 0.3036 0.5450 0.6796  4 O 1.61-1.64
Si 0.9898 0.7393 0.4794  4 O 1.61-1.65
Si 0.0472 0.0769 0.7050  4 O 1.61-1.63
Si 0.4528 0.7950 0.4231  4 O 1.61-1.63
Si 0.1964 0.8204 0.9550  4 O 1.61-1.64
Si 0.9898 0.5206 0.2607  4 O 1.61-1.65
Si 0.8036 0.1796 0.0450  4 O 1.61-1.64
Si 0.4898 0.7607 0.0206  4 O 1.61-1.65
Si 0.4898 0.9794 0.2393  4 O 1.61-1.65
Si 0.1964 0.0450 0.1796  4 O 1.61-1.64
Si 0.6964 0.4550 0.3204  4 O 1.61-1.64
Si 0.8036 0.9550 0.8204  4 O 1.61-1.64
Si 0.9528 0.9231 0.2950  4 O 1.61-1.63
Si 0.0102 0.4794 0.7393  4 O 1.61-1.65
Si 0.3036 0.3204 0.4550  4 O 1.61-1.64
Si 0.0102 0.2607 0.5206  4 O 1.61-1.65
Si 0.4528 0.5769 0.2050  4 O 1.61-1.63
Si 0.5102 0.0206 0.7607  4 O 1.61-1.65
Si 0.0472 0.2950 0.9231  4 O 1.61-1.63
Si 0.5102 0.2393 0.9794  4 O 1.61-1.65
Si 0.9528 0.7050 0.0769  4 O 1.61-1.63